No. 1
This record from Alexandria via LeMat-Bulk describes Tb6SiGe2Te3 after structural relaxation. The functional is PBE.

Results
formation energy from raw total energies = -1168.1 meV/atom
uncorrected energy = -65.9 eV per cell
space-group type = C2/m (12)
DOS at the Fermi energy = 0.182 states/eV per atom

Cell and atoms, written as extended XYZ:
```
12
Lattice="4.255 0.000 0.000 0.000 8.640 0.200 -2.128 -2.602 9.029" Properties=species:S:1:pos:R:3 pbc="T T T"
Tb 0.000 6.017 6.329
Tb 2.128 4.000 3.236
Tb 2.128 0.021 2.900
Tb 0.000 1.975 0.157
Tb 2.128 4.063 9.073
Tb 0.000 2.038 5.993
Si 2.128 0.000 0.000
Ge 2.128 4.028 6.155
Ge 0.000 2.010 3.075
Te 2.128 4.320 0.100
Te 2.128 -0.293 6.049
Te 0.000 6.331 3.181
```

***

No. 2
This record from Alexandria via LeMat-Bulk describes Tb6Si2GeTe3 after structural relaxation. The functional is PBE.

Results
formation energy from raw total energies = -1136.8 meV/atom
uncorrected energy = -66.3 eV per cell
space-group type = C2/m (12)
DOS at the Fermi energy = 0.184 states/eV per atom

Cell and atoms, written as extended XYZ:
```
12
Lattice="4.249 0.000 0.000 0.000 8.636 0.192 -2.124 -2.610 9.021" Properties=species:S:1:pos:R:3 pbc="T T T"
Tb 0.000 5.995 6.293
Tb 2.124 3.984 3.238
Tb 2.124 0.031 2.920
Tb 0.000 1.990 0.172
Tb 2.124 4.036 9.041
Tb 0.000 2.042 5.975
Si 2.124 4.019 6.140
Si 0.000 2.008 3.073
Ge 2.124 0.000 0.000
Te 2.124 4.318 0.096
Te 2.124 -0.299 6.051
Te 0.000 6.325 3.162
```

***

No. 3
This record from Alexandria via LeMat-Bulk describes TbTmSiGe after structural relaxation. The functional is PBE.

Results
formation energy from raw total energies = -828.2 meV/atom
uncorrected energy = -22.5 eV per cell
space-group type = Amm2 (38)
DOS at the Fermi energy = 0.649 states/eV per atom

Cell and atoms, written as extended XYZ:
```
4
Lattice="4.262 0.000 0.000 0.000 3.888 0.000 -2.131 0.000 5.288" Properties=species:S:1:pos:R:3 pbc="T T T"
Tb 0.000 0.000 1.469
Tm 2.131 1.944 3.812
Si 2.131 1.944 0.866
Ge 0.000 0.000 4.430
```

***

No. 4
This record from Alexandria via LeMat-Bulk describes SiTc2Ge after structural relaxation. The functional is PBE.

Results
formation energy from raw total energies = 420.8 meV/atom
uncorrected energy = -58.2 eV per cell
space-group type = I-42d (122)
excess energy over the best structure of this formula in the dataset = 0.659 eV/atom
DOS at the Fermi energy = 1.075 states/eV per atom

Cell and atoms, written as extended XYZ:
```
8
Lattice="6.519 0.000 0.000 0.000 6.519 0.000 3.259 3.259 3.003" Properties=species:S:1:pos:R:3 pbc="T T T"
Ge 0.000 0.000 0.000
Ge 6.519 3.259 1.501
Si 3.259 3.259 0.000
Si 3.259 6.519 1.501
Tc 4.791 1.630 0.751
Tc 1.728 4.889 0.751
Tc 4.889 4.988 2.252
Tc 8.149 8.050 2.252
```

***

No. 5
This record from Alexandria via LeMat-Bulk describes SiTcGe2 after structural relaxation. The functional is PBE.

Results
formation energy from raw total energies = 604.5 meV/atom
uncorrected energy = -45.2 eV per cell
space-group type = I-42d (122)
DOS at the Fermi energy = 0.372 states/eV per atom

Cell and atoms, written as extended XYZ:
```
8
Lattice="-2.697 3.533 3.585 2.970 -2.167 4.369 4.052 4.468 3.193" Properties=species:S:1:pos:R:3 pbc="T T T"
Ge -0.301 3.054 3.585
Ge 2.532 0.205 3.977
Ge 3.142 3.863 5.378
Ge 3.278 4.547 9.354
Si 0.137 0.683 3.977
Si 3.579 1.492 5.769
Tc 0.000 0.000 0.000
Tc 0.746 4.342 5.377
```

***

No. 6
This record from Alexandria via LeMat-Bulk describes SiTc2Ge2 after structural relaxation. The functional is PBE.

Results
formation energy from raw total energies = 18.1 meV/atom
uncorrected energy = -70.6 eV per cell
space-group type = P4/mbm (127)
DOS at the Fermi energy = 0.648 states/eV per atom

Cell and atoms, written as extended XYZ:
```
10
Lattice="6.774 0.000 0.000 0.000 6.774 0.000 0.000 0.000 3.331" Properties=species:S:1:pos:R:3 pbc="T T T"
Ge 0.979 4.366 1.666
Ge 4.366 5.794 1.666
Ge 5.794 2.408 1.666
Ge 2.408 0.979 1.666
Si 0.000 0.000 0.000
Si 3.387 3.387 0.000
Tc 2.333 5.720 0.000
Tc 5.720 4.441 0.000
Tc 4.441 1.054 0.000
Tc 1.054 2.333 0.000
```

***

No. 7
This record from Alexandria via LeMat-Bulk describes Si2TcGe after structural relaxation. The functional is PBE.

Results
formation energy from raw total energies = 511.9 meV/atom
uncorrected energy = -47.6 eV per cell
space-group type = I-42d (122)
DOS at the Fermi energy = 0.351 states/eV per atom

Cell and atoms, written as extended XYZ:
```
8
Lattice="-4.400 -0.585 -3.483 3.130 -3.224 -3.413 -2.202 -6.304 -0.728" Properties=species:S:1:pos:R:3 pbc="T T T"
Ge -0.635 -1.905 -3.448
Ge 0.146 -5.716 -3.794
Si -2.969 -2.353 -2.833
Si 0.916 -3.656 -2.703
Si -2.171 -6.113 -3.086
Si -2.720 -8.105 -6.626
Tc 0.000 0.000 0.000
Tc -3.619 -4.397 -3.830
```

***

No. 8
This record from Alexandria via LeMat-Bulk describes SiTc3Ge after structural relaxation. The functional is PBE.

Results
formation energy from raw total energies = 851.4 meV/atom
uncorrected energy = -36.9 eV per cell
space-group type = Pm-3m (221)
excess energy over the best structure of this formula in the dataset = 0.000 eV/atom
DOS at the Fermi energy = 0.543 states/eV per atom

Cell and atoms, written as extended XYZ:
```
5
Lattice="4.416 0.000 0.000 0.000 4.416 0.000 0.000 0.000 4.416" Properties=species:S:1:pos:R:3 pbc="T T T"
Ge 2.208 2.208 2.208
Si 0.000 0.000 0.000
Tc 0.000 2.208 0.000
Tc 0.000 0.000 2.208
Tc 2.208 0.000 0.000
```

***

Repeat the first record exactly.
This record from Alexandria via LeMat-Bulk describes Tb6SiGe2Te3 after structural relaxation. The functional is PBE.

Results
formation energy from raw total energies = -1168.1 meV/atom
uncorrected energy = -65.9 eV per cell
space-group type = C2/m (12)
DOS at the Fermi energy = 0.182 states/eV per atom

Cell and atoms, written as extended XYZ:
```
12
Lattice="4.255 0.000 0.000 0.000 8.640 0.200 -2.128 -2.602 9.029" Properties=species:S:1:pos:R:3 pbc="T T T"
Tb 0.000 6.017 6.329
Tb 2.128 4.000 3.236
Tb 2.128 0.021 2.900
Tb 0.000 1.975 0.157
Tb 2.128 4.063 9.073
Tb 0.000 2.038 5.993
Si 2.128 0.000 0.000
Ge 2.128 4.028 6.155
Ge 0.000 2.010 3.075
Te 2.128 4.320 0.100
Te 2.128 -0.293 6.049
Te 0.000 6.331 3.181
```